# 1
The following is a GGA-PBE calculation of a relaxed Rb3Ac2NdO6 crystal, from the Alexandria database.

a = 6.610 Å, b = 6.610 Å, c = 6.998 Å
α = 99.03°, β = 99.03°, γ = 120.03°
Element x y z (fractional)
Rb1 0.000 0.000 0.000
Rb2 0.337 0.663 0.000
Rb3 0.663 0.337 0.000
Ac1 0.167 0.833 0.500
Ac2 0.833 0.167 0.500
Nd1 0.500 0.500 0.500
O1 0.117 0.439 0.316
O2 0.239 0.239 0.683
O3 0.439 0.117 0.316
O4 0.561 0.883 0.684
O5 0.761 0.761 0.317
O6 0.883 0.561 0.684

Calculated values
Formation energy (no corrections) in meV per atom: -2532
M_tot in μB/f.u.: 0.0
DOS at the Fermi energy in states/eV per cell: 0.00
Raw total energy in eV per atom: -6.34

***

# 2
The following is a GGA-PBE calculation of a relaxed Rb2AcNdO4 crystal, from the Alexandria database.

a = 6.554 Å, b = 3.777 Å, c = 6.987 Å
α = 90.00°, β = 108.21°, γ = 90.00°
Element x y z (fractional)
Rb1 0.000 0.000 0.000
Rb2 0.500 0.500 0.000
Ac1 0.000 0.500 0.500
Nd1 0.500 0.000 0.500
O1 0.239 0.000 0.684
O2 0.281 0.500 0.318
O3 0.719 0.500 0.682
O4 0.761 0.000 0.316

Calculated values
Formation energy (no corrections) in meV per atom: -2532
M_tot in μB/f.u.: 0.0
DOS at the Fermi energy in states/eV per cell: 0.00
Raw total energy in eV per atom: -6.36

***

# 3
The following is a GGA-PBE calculation of a relaxed Ac2NdReO8 crystal, from the Alexandria database.

a = 5.381 Å, b = 7.176 Å, c = 5.384 Å
α = 90.00°, β = 90.76°, γ = 90.00°
Element x y z (fractional)
Ac1 0.000 0.243 0.000
Ac2 0.000 0.757 0.000
Nd1 0.500 0.500 0.500
Re1 0.500 0.000 0.500
O1 0.195 0.500 0.196
O2 0.250 0.000 0.253
O3 0.331 0.198 0.671
O4 0.331 0.802 0.671
O5 0.669 0.198 0.329
O6 0.669 0.802 0.329
O7 0.750 0.000 0.747
O8 0.805 0.500 0.804

Calculated values
Formation energy (no corrections) in meV per atom: -2650
M_tot in μB/f.u.: 0.0
DOS at the Fermi energy in states/eV per cell: 0.00
Raw total energy in eV per atom: -8.07

***

# 4
The following is a GGA-PBE calculation of a relaxed AcNdRu2O8 crystal, from the Alexandria database.

a = 5.905 Å, b = 5.905 Å, c = 7.477 Å
α = 90.00°, β = 90.00°, γ = 120.00°
Element x y z (fractional)
Ac1 0.000 0.000 0.000
Nd1 0.000 0.000 0.500
Ru1 0.333 0.667 0.799
Ru2 0.667 0.333 0.201
O1 0.159 0.320 0.727
O2 0.161 0.841 0.727
O3 0.320 0.161 0.273
O4 0.333 0.667 0.039
O5 0.667 0.333 0.961
O6 0.680 0.839 0.727
O7 0.839 0.159 0.273
O8 0.841 0.680 0.273

Calculated values
Formation energy (no corrections) in meV per atom: -1717
M_tot in μB/f.u.: 2.0
DOS at the Fermi energy in states/eV per cell: 8.68
Raw total energy in eV per atom: -7.31

***

# 5
The following is a GGA-PBE calculation of a relaxed AcNd2RuO8 crystal, from the Alexandria database.

a = 4.621 Å, b = 5.396 Å, c = 7.286 Å
α = 94.14°, β = 91.69°, γ = 91.35°
Element x y z (fractional)
Ac1 0.000 0.000 0.000
Nd1 0.451 0.457 0.745
Nd2 0.549 0.543 0.255
Ru1 0.000 0.000 0.500
O1 0.085 0.743 0.290
O2 0.190 0.828 0.684
O3 0.322 0.206 0.462
O4 0.428 0.261 0.009
O5 0.572 0.739 0.991
O6 0.678 0.794 0.538
O7 0.810 0.172 0.316
O8 0.915 0.257 0.710

Calculated values
Formation energy (no corrections) in meV per atom: -2268
M_tot in μB/f.u.: 1.1
DOS at the Fermi energy in states/eV per cell: 4.60
Raw total energy in eV per atom: -7.48

***

# 6
The following is a GGA-PBE calculation of a relaxed AcNdS2O8 crystal, from the Alexandria database.

a = 5.114 Å, b = 5.114 Å, c = 8.597 Å
α = 90.00°, β = 90.00°, γ = 120.00°
Element x y z (fractional)
Ac1 0.000 0.000 0.000
Nd1 0.000 0.000 0.500
S1 0.333 0.667 0.201
S2 0.667 0.333 0.799
O1 0.174 0.347 0.251
O2 0.174 0.826 0.251
O3 0.333 0.667 0.024
O4 0.347 0.174 0.749
O5 0.653 0.826 0.251
O6 0.667 0.333 0.976
O7 0.826 0.174 0.749
O8 0.826 0.653 0.749

Calculated values
Formation energy (no corrections) in meV per atom: -1911
M_tot in μB/f.u.: 0.0
DOS at the Fermi energy in states/eV per cell: 1.94
Raw total energy in eV per atom: -6.64

***

# 7
The following is a GGA-PBE calculation of a relaxed Ac2NdS2O2 crystal, from the Alexandria database.

a = 8.474 Å, b = 8.474 Å, c = 8.474 Å
α = 149.08°, β = 149.08°, γ = 44.30°
Element x y z (fractional)
Ac1 0.134 0.134 0.000
Ac2 0.866 0.866 0.000
Nd1 0.500 0.500 0.000
S1 0.321 0.321 0.000
S2 0.679 0.679 0.000
O1 0.000 0.500 0.500
O2 0.500 0.000 0.500

Calculated values
Formation energy (no corrections) in meV per atom: -2414
M_tot in μB/f.u.: 0.0
DOS at the Fermi energy in states/eV per cell: 2.27
Raw total energy in eV per atom: -6.86

***

# 8
The following is a GGA-PBE calculation of a relaxed AcNdSbO2 crystal, from the Alexandria database.

a = 7.676 Å, b = 7.676 Å, c = 7.676 Å
α = 149.08°, β = 149.08°, γ = 44.30°
Element x y z (fractional)
Ac1 0.000 0.000 0.000
Nd1 0.325 0.325 0.000
Sb1 0.667 0.667 0.000
O1 0.406 0.906 0.500
O2 0.906 0.406 0.500

Calculated values
Formation energy (no corrections) in meV per atom: -2600
M_tot in μB/f.u.: 0.0
DOS at the Fermi energy in states/eV per cell: 1.98
Raw total energy in eV per atom: -7.18

***

# 9
The following is a GGA-PBE calculation of a relaxed Ac2NdSb2O2 crystal, from the Alexandria database.

a = 9.178 Å, b = 9.178 Å, c = 9.178 Å
α = 150.75°, β = 150.75°, γ = 41.84°
Element x y z (fractional)
Ac1 0.117 0.117 0.000
Ac2 0.883 0.883 0.000
Nd1 0.500 0.500 0.000
Sb1 0.313 0.313 0.000
Sb2 0.687 0.687 0.000
O1 0.000 0.500 0.500
O2 0.500 0.000 0.500

Calculated values
Formation energy (no corrections) in meV per atom: -1899
M_tot in μB/f.u.: 0.0
DOS at the Fermi energy in states/eV per cell: 4.23
Raw total energy in eV per atom: -6.35

***

# 10
The following is a GGA-PBE calculation of a relaxed AcNdSb2O8 crystal, from the Alexandria database.

a = 7.100 Å, b = 7.100 Å, c = 7.100 Å
α = 134.52°, β = 134.52°, γ = 66.28°
Element x y z (fractional)
Ac1 0.000 0.000 0.000
Nd1 0.250 0.750 0.500
Sb1 0.500 0.500 0.000
Sb2 0.750 0.250 0.500
O1 0.005 0.086 0.426
O2 0.257 0.662 0.093
O3 0.338 0.431 0.594
O4 0.421 0.995 0.081
O5 0.569 0.163 0.907
O6 0.660 0.579 0.574
O7 0.837 0.743 0.406
O8 0.914 0.340 0.919

Calculated values
Formation energy (no corrections) in meV per atom: -2292
M_tot in μB/f.u.: 0.0
DOS at the Fermi energy in states/eV per cell: 0.00
Raw total energy in eV per atom: -7.02

***

# 11
The following is a GGA-PBE calculation of a relaxed Ac2NdSbO8 crystal, from the Alexandria database.

a = 4.504 Å, b = 7.357 Å, c = 5.675 Å
α = 90.00°, β = 92.57°, γ = 90.00°
Element x y z (fractional)
Ac1 0.000 0.247 0.000
Ac2 0.000 0.753 0.000
Nd1 0.500 0.500 0.500
Sb1 0.500 0.000 0.500
O1 0.050 0.500 0.252
O2 0.070 0.000 0.385
O3 0.458 0.203 0.737
O4 0.458 0.797 0.737
O5 0.542 0.203 0.263
O6 0.542 0.797 0.263
O7 0.930 0.000 0.615
O8 0.950 0.500 0.748

Calculated values
Formation energy (no corrections) in meV per atom: -2453
M_tot in μB/f.u.: 0.0
DOS at the Fermi energy in states/eV per cell: 0.00
Raw total energy in eV per atom: -7.18

***

# 12
The following is a GGA-PBE calculation of a relaxed AcNdSeO2 crystal, from the Alexandria database.

a = 7.103 Å, b = 7.103 Å, c = 7.103 Å
α = 146.75°, β = 146.75°, γ = 47.73°
Element x y z (fractional)
Ac1 0.000 0.000 0.000
Nd1 0.694 0.694 0.000
Se1 0.346 0.346 0.000
O1 0.104 0.604 0.500
O2 0.604 0.104 0.500

Calculated values
Formation energy (no corrections) in meV per atom: -2995
M_tot in μB/f.u.: 0.0
DOS at the Fermi energy in states/eV per cell: 0.00
Raw total energy in eV per atom: -7.45

***

# 13
The following is a GGA-PBE calculation of a relaxed AcNdSeO6 crystal, from the Alexandria database.

a = 5.626 Å, b = 5.626 Å, c = 5.136 Å
α = 90.00°, β = 90.00°, γ = 120.00°
Element x y z (fractional)
Ac1 0.000 0.000 0.000
Nd1 0.333 0.667 0.500
Se1 0.667 0.333 0.500
O1 0.396 0.066 0.708
O2 0.396 0.330 0.292
O3 0.670 0.066 0.292
O4 0.670 0.604 0.708
O5 0.934 0.330 0.708
O6 0.934 0.604 0.292

Calculated values
Formation energy (no corrections) in meV per atom: -2102
M_tot in μB/f.u.: 0.0
DOS at the Fermi energy in states/eV per cell: 0.00
Raw total energy in eV per atom: -6.78

***

# 14
The following is a GGA-PBE calculation of a relaxed AcNdSe2O crystal, from the Alexandria database.

a = 4.233 Å, b = 4.233 Å, c = 15.085 Å
α = 90.00°, β = 90.00°, γ = 90.00°
Element x y z (fractional)
Ac1 0.250 0.250 0.085
Ac2 0.750 0.750 0.915
Nd1 0.250 0.250 0.623
Nd2 0.750 0.750 0.377
Se1 0.250 0.250 0.409
Se2 0.250 0.250 0.803
Se3 0.750 0.750 0.197
Se4 0.750 0.750 0.591
O1 0.250 0.750 0.000
O2 0.750 0.250 0.000

Calculated values
Formation energy (no corrections) in meV per atom: -2435
M_tot in μB/f.u.: 0.0
DOS at the Fermi energy in states/eV per cell: 1.46
Raw total energy in eV per atom: -6.60

***

# 15
The following is a GGA-PBE calculation of a relaxed AcNd2SeO8 crystal, from the Alexandria database.

a = 4.636 Å, b = 5.178 Å, c = 6.967 Å
α = 89.95°, β = 71.34°, γ = 89.92°
Element x y z (fractional)
Ac1 0.000 0.000 0.000
Nd1 0.356 0.500 0.296
Nd2 0.644 0.500 0.704
Se1 0.000 0.000 0.500
O1 0.157 0.251 0.618
O2 0.158 0.749 0.618
O3 0.234 0.500 0.999
O4 0.337 0.000 0.255
O5 0.663 0.000 0.745
O6 0.766 0.500 0.001
O7 0.842 0.251 0.382
O8 0.843 0.749 0.382

Calculated values
Formation energy (no corrections) in meV per atom: -2288
M_tot in μB/f.u.: 0.2
DOS at the Fermi energy in states/eV per cell: 1.32
Raw total energy in eV per atom: -7.02

***

# 16
The following is a GGA-PBE calculation of a relaxed AcNdTa2O8 crystal, from the Alexandria database.

a = 7.056 Å, b = 7.056 Å, c = 7.056 Å
α = 134.42°, β = 134.42°, γ = 66.43°
Element x y z (fractional)
Ac1 0.000 0.000 0.000
Nd1 0.250 0.750 0.500
Ta1 0.500 0.500 0.000
Ta2 0.750 0.250 0.500
O1 0.262 0.659 0.096
O2 0.341 0.437 0.603
O3 0.424 0.001 0.091
O4 0.563 0.166 0.904
O5 0.667 0.576 0.577
O6 0.834 0.738 0.397
O7 0.910 0.333 0.909
O8 0.999 0.090 0.423

Calculated values
Formation energy (no corrections) in meV per atom: -3208
M_tot in μB/f.u.: 0.0
DOS at the Fermi energy in states/eV per cell: 0.00
Raw total energy in eV per atom: -9.23

***

# 17
The following is a GGA-PBE calculation of a relaxed Ac2NdTaO8 crystal, from the Alexandria database.

a = 4.382 Å, b = 7.364 Å, c = 5.677 Å
α = 90.00°, β = 92.55°, γ = 90.00°
Element x y z (fractional)
Ac1 0.000 0.247 0.000
Ac2 0.000 0.753 0.000
Nd1 0.500 0.500 0.500
Ta1 0.500 0.000 0.500
O1 0.027 0.500 0.255
O2 0.055 0.000 0.378
O3 0.469 0.203 0.735
O4 0.469 0.797 0.735
O5 0.531 0.203 0.265
O6 0.531 0.797 0.265
O7 0.945 0.000 0.622
O8 0.973 0.500 0.745

Calculated values
Formation energy (no corrections) in meV per atom: -2857
M_tot in μB/f.u.: 0.0
DOS at the Fermi energy in states/eV per cell: 0.00
Raw total energy in eV per atom: -8.23

***

# 18
The following is a GGA-PBE calculation of a relaxed AcNd2TaO8 crystal, from the Alexandria database.

a = 5.744 Å, b = 4.048 Å, c = 7.529 Å
α = 90.00°, β = 91.52°, γ = 90.00°
Element x y z (fractional)
Ac1 0.000 0.000 0.000
Nd1 0.495 0.500 0.243
Nd2 0.505 0.500 0.757
Ta1 0.000 0.000 0.500
O1 0.102 0.500 0.440
O2 0.233 0.000 0.694
O3 0.263 0.500 0.994
O4 0.264 0.000 0.299
O5 0.736 0.000 0.701
O6 0.737 0.500 0.006
O7 0.767 0.000 0.306
O8 0.898 0.500 0.560

Calculated values
Formation energy (no corrections) in meV per atom: -2852
M_tot in μB/f.u.: 0.0
DOS at the Fermi energy in states/eV per cell: 0.00
Raw total energy in eV per atom: -8.28

***

# 19
The following is a GGA-PBE calculation of a relaxed AcNdTcO6 crystal, from the Alexandria database.

a = 5.693 Å, b = 5.693 Å, c = 5.214 Å
α = 90.00°, β = 90.00°, γ = 120.00°
Element x y z (fractional)
Ac1 0.000 0.000 0.000
Nd1 0.667 0.333 0.500
Tc1 0.333 0.667 0.500
O1 0.052 0.384 0.287
O2 0.052 0.668 0.713
O3 0.332 0.384 0.713
O4 0.332 0.948 0.287
O5 0.616 0.668 0.287
O6 0.616 0.948 0.713

Calculated values
Formation energy (no corrections) in meV per atom: -2434
M_tot in μB/f.u.: 1.0
DOS at the Fermi energy in states/eV per cell: 5.43
Raw total energy in eV per atom: -7.88

***

# 20
The following is a GGA-PBE calculation of a relaxed Ac2NdTcO8 crystal, from the Alexandria database.

a = 5.350 Å, b = 7.166 Å, c = 5.398 Å
α = 90.00°, β = 90.62°, γ = 90.00°
Element x y z (fractional)
Ac1 0.000 0.243 0.000
Ac2 0.000 0.757 0.000
Nd1 0.500 0.500 0.500
Tc1 0.500 0.000 0.500
O1 0.194 0.500 0.196
O2 0.250 0.000 0.255
O3 0.330 0.200 0.672
O4 0.330 0.800 0.672
O5 0.670 0.200 0.328
O6 0.670 0.800 0.328
O7 0.750 0.000 0.745
O8 0.806 0.500 0.804

Calculated values
Formation energy (no corrections) in meV per atom: -2492
M_tot in μB/f.u.: 0.0
Raw total energy in eV per atom: -7.74

***

# 21
The following is a GGA-PBE calculation of a relaxed AcNdTc2O8 crystal, from the Alexandria database.

a = 5.958 Å, b = 5.958 Å, c = 7.423 Å
α = 90.00°, β = 90.00°, γ = 120.00°
Element x y z (fractional)
Ac1 0.000 0.000 0.000
Nd1 0.000 0.000 0.500
Tc1 0.333 0.667 0.798
Tc2 0.667 0.333 0.202
O1 0.159 0.320 0.727
O2 0.161 0.841 0.727
O3 0.320 0.161 0.273
O4 0.333 0.667 0.039
O5 0.667 0.333 0.961
O6 0.680 0.839 0.727
O7 0.839 0.159 0.273
O8 0.841 0.680 0.273

Calculated values
Formation energy (no corrections) in meV per atom: -2087
M_tot in μB/f.u.: 4.0
Raw total energy in eV per atom: -7.86

***

# 22
The following is a GGA-PBE calculation of a relaxed AcNdTe2O8 crystal, from the Alexandria database.

a = 6.532 Å, b = 6.532 Å, c = 6.532 Å
α = 107.14°, β = 107.14°, γ = 114.24°
Element x y z (fractional)
Ac1 0.000 0.000 0.000
Nd1 0.750 0.250 0.500
Te1 0.250 0.750 0.500
Te2 0.500 0.500 0.000
O1 0.062 0.386 0.324
O2 0.062 0.738 0.676
O3 0.121 0.310 0.811
O4 0.262 0.938 0.324
O5 0.499 0.310 0.189
O6 0.614 0.938 0.676
O7 0.690 0.501 0.811
O8 0.690 0.879 0.189

Calculated values
Formation energy (no corrections) in meV per atom: -1929
M_tot in μB/f.u.: 0.0
DOS at the Fermi energy in states/eV per cell: 2.66
Raw total energy in eV per atom: -6.50